[1]
Below is crystalline BeGe2S at its relaxed geometry, with properties calculated at the PBE level.

## Properties
Formation energy from raw total energies = 0.086 eV per atom
Spin magnetization = 0.00 μB per formula unit
SG = No. 122
N(E_F) = 0.0000 states/eV per atom

Cell: 6.6460 6.6460 6.6460 Å, 132.19 132.19 69.93°
Fractional coordinates of all 8 atoms:
Be  0.0000  0.0000  0.0000
Be  0.7500  0.2500  0.5000
Ge  0.0828  0.6250  0.9578
Ge  0.3750  0.3328  0.4578
Ge  0.6672  0.1250  0.0422
Ge  0.8750  0.9172  0.5422
S  0.2500  0.7500  0.5000
S  0.5000  0.5000  0.0000

***

[2]
Below is crystalline Ac8Ru3RhBr4 at its relaxed geometry, with properties calculated at the PBE level.

## Properties
Formation energy from raw total energies = -0.916 eV per atom
Spin magnetization = 0.00 μB per formula unit
SG = No. 166
N(E_F) = 0.5325 states/eV per atom

Cell: 9.6628 9.6628 9.6628 Å, 53.03 53.03 53.03°
Fractional coordinates of all 16 atoms:
Ac  0.2272  0.7336  0.7336
Ac  0.2317  0.2317  0.2317
Ac  0.2664  0.2664  0.7728
Ac  0.2664  0.7728  0.2664
Ac  0.7336  0.2272  0.7336
Ac  0.7336  0.7336  0.2272
Ac  0.7683  0.7683  0.7683
Ac  0.7728  0.2664  0.2664
Ru  0.0000  0.0000  0.5000
Ru  0.0000  0.5000  0.0000
Ru  0.5000  0.0000  0.0000
Rh  0.5000  0.5000  0.5000
Br  0.0000  0.0000  0.0000
Br  0.0000  0.5000  0.5000
Br  0.5000  0.0000  0.5000
Br  0.5000  0.5000  0.0000

***

[3]
Below is crystalline B2Pb2S5 at its relaxed geometry, with properties calculated at the PBE level.

## Properties
Formation energy from raw total energies = -0.190 eV per atom
Spin magnetization = 0.00 μB per formula unit
SG = No. 12

Cell: 6.5470 6.5470 5.8518 Å, 97.67 97.67 59.40°
Fractional coordinates of all 9 atoms:
B  0.1479  0.1479  0.3893
B  0.8521  0.8521  0.6107
Pb  0.3754  0.3754  0.1783
Pb  0.6246  0.6246  0.8217
S  0.0000  0.0000  0.5000
S  0.1420  0.1420  0.0769
S  0.2856  0.2856  0.5840
S  0.7144  0.7144  0.4160
S  0.8580  0.8580  0.9231

***

[4]
Below is crystalline Mg3PPb at its relaxed geometry, with properties calculated at the PBE level.

## Properties
Energy of formation = 588 meV per atom
Spin magnetization = 1.00 μB per formula unit
SG = No. 221
N(E_F) = 0.7300 states/eV per atom

Cell: 5.3067 5.3067 5.3067 Å, 90.00 90.00 90.00°
Fractional coordinates of all 5 atoms:
Mg  0.0000  0.0000  0.5000
Mg  0.0000  0.5000  0.0000
Mg  0.5000  0.0000  0.0000
P  0.5000  0.5000  0.5000
Pb  0.0000  0.0000  0.0000

***

[5]
Below is crystalline Mo2SeCl at its relaxed geometry, with properties calculated at the PBE level.

## Properties
Formation energy from raw total energies = -0.125 eV per atom
Spin magnetization = 0.00 μB per formula unit
SG = No. 99
N(E_F) = 0.6635 states/eV per atom

Cell: 3.0054 3.0054 8.7850 Å, 90.00 90.00 90.00°
Fractional coordinates of all 4 atoms:
Mo  0.0000  0.0000  0.0000
Mo  0.5000  0.5000  0.2175
Se  0.0000  0.0000  0.3888
Cl  0.5000  0.5000  0.8167

***

[6]
Below is crystalline NdBO2 at its relaxed geometry, with properties calculated at the PBE level.

## Properties
Formation energy from raw total energies = -0.581 eV per atom
Spin magnetization = 0.00 μB per formula unit
SG = No. 166
N(E_F) = 0.3282 states/eV per atom

Cell: 6.7460 6.7460 6.7460 Å, 24.21 24.21 24.21°
Fractional coordinates of all 4 atoms:
Nd  0.0000  0.0000  0.0000
B  0.5000  0.5000  0.5000
O  0.1232  0.1232  0.1232
O  0.8768  0.8768  0.8768

***

[7]
Below is crystalline Cs2LiInHg6 at its relaxed geometry, with properties calculated at the PBE level.

## Properties
Energy of formation = -194 meV per atom
Spin magnetization = 0.00 μB per formula unit
SG = No. 12
N(E_F) = 0.4869 states/eV per atom

Cell: 7.9647 7.9647 7.9776 Å, 119.93 119.93 89.84°
Fractional coordinates of all 10 atoms:
Cs  0.2501  0.7499  0.0000
Cs  0.7499  0.2501  0.0000
Li  0.0000  0.0000  0.5000
In  0.5000  0.5000  0.5000
Hg  0.2354  0.2354  0.5005
Hg  0.2353  0.2353  0.9697
Hg  0.2351  0.7649  0.5000
Hg  0.7649  0.2351  0.5000
Hg  0.7647  0.7647  0.0303
Hg  0.7646  0.7646  0.4995

***

[8]
Below is crystalline TcPS at its relaxed geometry, with properties calculated at the PBE level.

## Properties
Formation energy from raw total energies = -0.319 eV per atom
Spin magnetization = 0.00 μB per formula unit
SG = No. 8
N(E_F) = 0.2547 states/eV per atom

Cell: 5.6862 5.6862 3.1043 Å, 105.84 105.84 82.44°
Fractional coordinates of all 6 atoms:
Tc  0.2054  0.7946  0.0000
Tc  0.7946  0.2054  0.0000
P  0.6250  0.9220  0.2735
P  0.9220  0.6250  0.2735
S  0.1229  0.1229  0.6229
S  0.4078  0.4078  0.9022

***

[9]
Below is crystalline CdSn2S at its relaxed geometry, with properties calculated at the PBE level.

## Properties
Formation energy from raw total energies = -0.003 eV per atom
Spin magnetization = 0.00 μB per formula unit
SG = No. 166
N(E_F) = 0.4908 states/eV per atom

Cell: 10.2129 10.2129 10.2129 Å, 19.68 19.68 19.68°
Fractional coordinates of all 4 atoms:
Cd  0.0000  0.0000  0.0000
Sn  0.1018  0.1018  0.1018
Sn  0.8982  0.8982  0.8982
S  0.5000  0.5000  0.5000

***

[10]
Below is crystalline Pm2In3Ag4 at its relaxed geometry, with properties calculated at the PBE level.

## Properties
Energy of formation = -292 meV per atom
Spin magnetization = 0.00 μB per formula unit
SG = No. 12
N(E_F) = 0.3096 states/eV per atom

Cell: 5.0088 5.0088 9.5112 Å, 90.06 90.06 60.02°
Fractional coordinates of all 9 atoms:
Pm  0.1666  0.1666  0.2824
Pm  0.8334  0.8334  0.7176
In  0.1669  0.1669  0.9197
In  0.5000  0.5000  0.5000
In  0.8331  0.8331  0.0803
Ag  0.1666  0.1666  0.5999
Ag  0.4997  0.4997  0.1527
Ag  0.5003  0.5003  0.8473
Ag  0.8334  0.8334  0.4001

***

[11]
Below is crystalline TlPt2Au at its relaxed geometry, with properties calculated at the PBE level.

## Properties
Energy of formation = 192 meV per atom
Spin magnetization = 0.00 μB per formula unit
SG = No. 160
N(E_F) = 0.3420 states/eV per atom

Cell: 9.7282 9.7282 9.7282 Å, 17.67 17.67 17.67°
Fractional coordinates of all 4 atoms:
Tl  0.0000  0.0000  0.0000
Pt  0.2504  0.2504  0.2504
Pt  0.5065  0.5065  0.5065
Au  0.7602  0.7602  0.7602

***

[12]
Below is crystalline NaPuZn2Ge2 at its relaxed geometry, with properties calculated at the PBE level.

## Properties
Energy of formation = -258 meV per atom
Spin magnetization = 5.13 μB per formula unit
SG = No. 164
N(E_F) = 1.7363 states/eV per atom

Cell: 4.3595 4.3595 7.6166 Å, 90.00 90.00 120.00°
Fractional coordinates of all 6 atoms:
Na  0.0000  0.0000  0.0000
Pu  0.0000  0.0000  0.5000
Zn  0.3333  0.6667  0.2539
Zn  0.6667  0.3333  0.7461
Ge  0.3333  0.6667  0.7179
Ge  0.6667  0.3333  0.2821

***

[13]
Below is crystalline KTcI6 at its relaxed geometry, with properties calculated at the PBE level.

## Properties
Formation energy from raw total energies = -0.309 eV per atom
Spin magnetization = 2.08 μB per formula unit
SG = No. 12
N(E_F) = 0.8888 states/eV per atom

Cell: 7.9529 7.9529 6.4820 Å, 108.42 108.42 77.00°
Fractional coordinates of all 8 atoms:
K  0.0000  0.0000  0.0000
Tc  0.5000  0.5000  0.5000
I  0.2152  0.5992  0.6821
I  0.2976  0.2976  0.1154
I  0.4008  0.7848  0.3179
I  0.5992  0.2152  0.6821
I  0.7024  0.7024  0.8846
I  0.7848  0.4008  0.3179

***

[14]
Below is crystalline Li2CeInPb2 at its relaxed geometry, with properties calculated at the PBE level.

## Properties
Energy of formation = -332 meV per atom
Spin magnetization = 0.64 μB per formula unit
SG = No. 164
N(E_F) = 1.0470 states/eV per atom

Cell: 4.9077 4.9077 7.0205 Å, 90.00 90.00 120.00°
Fractional coordinates of all 6 atoms:
Li  0.3333  0.6667  0.1673
Li  0.6667  0.3333  0.8327
Ce  0.0000  0.0000  0.5000
In  0.0000  0.0000  0.0000
Pb  0.3333  0.6667  0.7234
Pb  0.6667  0.3333  0.2766